No. 1
Density functional theory data (GGA-PBE) for a relaxed structure of Hf2AgBi2.

Unit cell a=7.2983 b=7.2983 c=7.2983 alpha=142.57 beta=142.57 gamma=53.97
Sites, in units of the cell vectors:
Hf 0.2500 0.7500 0.5000
Hf 0.7500 0.2500 0.5000
Ag 0.0000 0.0000 0.0000
Bi 0.3832 0.3832 0.0000
Bi 0.6168 0.6168 0.0000

* theoretical density: 10.3 g/cm³
* energy: -5.7920 eV/atom

---

No. 2
Density functional theory data (GGA-PBE) for a relaxed structure of HfAgBi2.

Unit cell a=5.2044 b=5.2044 c=5.2044 alpha=60.00 beta=60.00 gamma=60.00
Sites, in units of the cell vectors:
Hf 0.0000 0.0000 0.0000
Ag 0.2500 0.2500 0.2500
Bi 0.5000 0.5000 0.5000
Bi 0.7500 0.7500 0.7500

* theoretical density: 11.7 g/cm³
* energy: -4.8722 eV/atom

---

No. 3
Density functional theory data (GGA-PBE) for a relaxed structure of Hf2AgBi2.

Unit cell a=7.6698 b=7.6698 c=7.6698 alpha=146.89 beta=146.89 gamma=47.53
Sites, in units of the cell vectors:
Hf 0.0993 0.0993 0.0000
Hf 0.9007 0.9007 0.0000
Ag 0.5000 0.5000 0.0000
Bi 0.2500 0.7500 0.5000
Bi 0.7500 0.2500 0.5000

* theoretical density: 10.9 g/cm³
* energy: -5.6839 eV/atom

---

No. 4
Density functional theory data (GGA-PBE) for a relaxed structure of Hf6AgBi2.

Unit cell a=7.8537 b=7.8537 c=3.7728 alpha=90.00 beta=90.00 gamma=120.00
Sites, in units of the cell vectors:
Hf 0.0000 0.2501 0.0000
Hf 0.0000 0.6042 0.5000
Hf 0.2501 0.0000 0.0000
Hf 0.3958 0.3958 0.5000
Hf 0.6042 0.0000 0.5000
Hf 0.7499 0.7499 0.0000
Ag 0.0000 0.0000 0.5000
Bi 0.3333 0.6667 0.0000
Bi 0.6667 0.3333 0.0000

* theoretical density: 13.2 g/cm³
* energy: -7.9137 eV/atom